# Li4CrFe3O8 (GGA+U, optimized geometry)
data_Li4CrFe3O8
_cell_length_a 5.9591
_cell_length_b 5.9591
_cell_length_c 14.6756
_cell_angle_alpha 90.00
_cell_angle_beta 90.00
_cell_angle_gamma 120.00
_space_group_name_H-M_alt 'R -3 m'
_space_group_IT_number 166
_space_group_name_Hall '-R 3 2"'
loop_
_atom_site_label
_atom_site_fract_x
_atom_site_fract_y
_atom_site_fract_z
Li1 0.0000 0.0000 0.0000
Li2 0.0000 0.5000 0.0000
Cr1 0.0000 0.0000 0.5000
Fe1 0.0000 0.5000 0.5000
O1 0.0000 0.0000 0.2433
O2 0.0017 0.5009 0.2424
# Calculated density ... 4.1 Mg/m³
# Polymorph energy (0 for the lowest one) ... 0.0000 eV/atom